(1)
SrCrNi2 after structural relaxation, computed with PBE.

It has space group Imm2 (No. 44), with a = 3.0661 Å, b = 4.7652 Å, c = 9.6973 Å, α = 90.00°, β = 90.00° and γ = 90.00°. The inequivalent atoms are Sr at (0.0000, 0.0000, 0.0000), Cr at (0.0000, 0.5000, 0.7961), Ni at (0.0000, 0.0000, 0.5227) and Ni at (0.0000, 0.5000, 0.2216).

The calculation puts the formation energy at 0.550 eV per atom. Its electronic total energy is -41.33 eV for the cell shown. For the spin magnetization, the calculation gives 4.34 μB/f.u. As for the density of states at the Fermi level: 9.4 states/eV/cell.


(2)
SrCrNi3 after structural relaxation, computed with PBE.

It has space group Pm-3m (No. 221), with a = 4.4657 Å, b = 4.4657 Å, c = 4.4657 Å, α = 90.00°, β = 90.00° and γ = 90.00°. The inequivalent atoms are Sr at (0.0000, 0.0000, 0.0000), Cr at (0.5000, 0.5000, 0.5000) and Ni at (0.0000, 0.5000, 0.5000).

The calculation puts the formation energy at 0.558 eV per atom. Its electronic total energy is -25.86 eV for the cell shown. For the spin magnetization, the calculation gives 0.00 μB/f.u. As for the density of states at the Fermi level: 6.4 states/eV/cell. Its distance to the lowest polymorph of the same formula is 0.000 eV per atom.


(3)
SrCrNi3 after structural relaxation, computed with PBE.

It has space group Pm-3m (No. 221), with a = 4.6548 Å, b = 4.6548 Å, c = 4.6548 Å, α = 90.00°, β = 90.00° and γ = 90.00°. The inequivalent atoms are Sr at (0.0000, 0.0000, 0.0000), Cr at (0.5000, 0.5000, 0.5000) and Ni at (0.0000, 0.0000, 0.5000).

The calculation puts the formation energy at 2.285 eV per atom. Its electronic total energy is -17.23 eV for the cell shown. For the spin magnetization, the calculation gives 0.64 μB/f.u. As for the density of states at the Fermi level: 11.6 states/eV/cell. Its distance to the lowest polymorph of the same formula is 1.727 eV per atom.


(4)
SrCrNi2 after structural relaxation, computed with PBE.

It has space group P4/mmm (No. 123), with a = 3.1283 Å, b = 3.1283 Å, c = 6.9031 Å, α = 90.00°, β = 90.00° and γ = 90.00°. The inequivalent atoms are Sr at (0.0000, 0.0000, 0.0000), Cr at (0.0000, 0.0000, 0.5000) and Ni at (0.5000, 0.5000, 0.3239).

The calculation puts the formation energy at 0.319 eV per atom. Its electronic total energy is -21.59 eV for the cell shown. For the spin magnetization, the calculation gives 2.68 μB/f.u. As for the density of states at the Fermi level: 3.5 states/eV/cell.


(5)
SrCrNi2 after structural relaxation, computed with PBE.

It has space group P4mm (No. 99), with a = 3.1882 Å, b = 3.1882 Å, c = 6.9726 Å, α = 90.00°, β = 90.00° and γ = 90.00°. The inequivalent atoms are Sr at (0.0000, 0.0000, 0.0000), Cr at (0.5000, 0.5000, 0.3683), Ni at (0.0000, 0.0000, 0.5222) and Ni at (0.5000, 0.5000, 0.7048).

The calculation puts the formation energy at 0.505 eV per atom. Its electronic total energy is -20.85 eV for the cell shown. For the spin magnetization, the calculation gives 3.42 μB/f.u. As for the density of states at the Fermi level: 5.3 states/eV/cell.


(6)
SrCrNi2 after structural relaxation, computed with PBE.

It has space group Pm (No. 6), with a = 3.5899 Å, b = 3.9187 Å, c = 5.8287 Å, α = 90.00°, β = 107.86° and γ = 90.00°. The inequivalent atoms are Sr at (0.0000, 0.0000, 0.0000), Cr at (0.7224, 0.5000, 0.4419), Ni at (0.2642, 0.0000, 0.5244) and Ni at (0.3739, 0.5000, 0.7466).

The calculation puts the formation energy at 0.396 eV per atom. Its electronic total energy is -21.28 eV for the cell shown. For the spin magnetization, the calculation gives 3.95 μB/f.u. As for the density of states at the Fermi level: 5.4 states/eV/cell.


(7)
SrCrNi2 after structural relaxation, computed with PBE.

It has space group P4/mmm (No. 123), with a = 4.6680 Å, b = 4.6680 Å, c = 3.1554 Å, α = 90.00°, β = 90.00° and γ = 90.00°. The inequivalent atoms are Sr at (0.0000, 0.0000, 0.0000), Cr at (0.5000, 0.5000, 0.0000) and Ni at (0.0000, 0.5000, 0.5000).

The calculation puts the formation energy at 0.529 eV per atom. Its electronic total energy is -20.75 eV for the cell shown. For the spin magnetization, the calculation gives 4.17 μB/f.u. As for the density of states at the Fermi level: 3.2 states/eV/cell.


(8)
SrCr4Ni after structural relaxation, computed with PBE.

It has space group F-43m (No. 216), with a = 7.0973 Å, b = 7.0973 Å, c = 7.0973 Å, α = 90.00°, β = 90.00° and γ = 90.00°. The inequivalent atoms are Sr at (0.0000, 0.0000, 0.0000), Cr at (0.1245, 0.1245, 0.6245) and Ni at (0.2500, 0.2500, 0.2500).

The calculation puts the formation energy at 0.881 eV per atom. Its electronic total energy is -162.69 eV for the cell shown. For the spin magnetization, the calculation gives 0.00 μB/f.u. As for the density of states at the Fermi level: 32.2 states/eV/cell.


> What is the electronic total energy in the second record?

-25.86 eV for the cell shown